The following is a DFT calculation (GGA-PBE) of CaCd2Hg4 after structural relaxation.

The space group is I4/mmm (No. 139) and the conventional cell measures 6.750, 6.750 and 8.518 Å, with angles of 90.00, 90.00 and 90.00 degrees. Symmetry generates all atoms from Ca at (0.000, 0.000, 0.000), Cd at (0.000, 0.500, 0.000) and Hg at (0.250, 0.250, 0.250).

The relative energy among the computed polymorphs comes out at 0.000 eV/atom. The calculation puts the calculated volume at 388.1 Å³/cell. The electronic total energy comes out at -0.06380 Ry per atom.

---

The following is a DFT calculation (GGA-PBE) of CaCd3Hg12 after structural relaxation.

The space group is P4/mmm (No. 123) and the conventional cell measures 4.510, 4.510 and 19.887 Å, with angles of 90.00, 90.00 and 90.00 degrees. Symmetry generates all atoms from Ca at (0.000, 0.000, 0.000), Cd at (0.000, 0.000, 0.257), Cd at (0.000, 0.000, 0.500), Hg at (0.000, 0.500, 0.126), Hg at (0.000, 0.500, 0.376), Hg at (0.500, 0.500, 0.000), Hg at (0.500, 0.500, 0.247) and Hg at (0.500, 0.500, 0.500).

The calculation puts the calculated volume at 404.4 Å³/cell. The electronic total energy comes out at -0.04343 Ry per atom.

---

The following is a DFT calculation (GGA-PBE) of CaCd7Hg12 after structural relaxation.

The space group is Im-3 (No. 204) and the conventional cell measures 10.876, 10.876 and 10.876 Å, with angles of 90.00, 90.00 and 90.00 degrees. Symmetry generates all atoms from Ca at (0.000, 0.000, 0.000), Cd at (0.000, 0.000, 0.500), Cd at (0.250, 0.250, 0.250) and Hg at (0.000, 0.153, 0.274).

The relative energy among the computed polymorphs comes out at 0.078 eV/atom. The calculation puts the calculated volume at 1286.4 Å³/cell. The electronic total energy comes out at -0.04093 Ry per atom.

---

The following is a DFT calculation (GGA-PBE) of CaCdHg after structural relaxation.

The space group is F-43m (No. 216) and the conventional cell measures 7.091, 7.091 and 7.091 Å, with angles of 90.00, 90.00 and 90.00 degrees. Symmetry generates all atoms from Ca at (0.000, 0.000, 0.000), Cd at (0.000, 0.000, 0.500) and Hg at (0.250, 0.250, 0.750).

The calculation puts the calculated volume at 356.6 Å³/cell. The electronic total energy comes out at -0.10048 Ry per atom.

---

The following is a DFT calculation (GGA-PBE) of CaCd6Hg2 after structural relaxation.

The space group is P4/mmm (No. 123) and the conventional cell measures 4.431, 4.431 and 11.211 Å, with angles of 90.00, 90.00 and 90.00 degrees. Symmetry generates all atoms from Ca at (0.000, 0.000, 0.000), Cd at (0.000, 0.000, 0.500), Cd at (0.000, 0.500, 0.299), Cd at (0.500, 0.500, 0.500) and Hg at (0.500, 0.500, 0.125).

The relative energy among the computed polymorphs comes out at 0.000 eV/atom. The calculation puts the calculated volume at 220.1 Å³/cell. The electronic total energy comes out at -0.07682 Ry per atom.

---

The following is a DFT calculation (GGA-PBE) of Ca2Cd2Hg3 after structural relaxation.

The space group is I2_13 (No. 199) and the conventional cell measures 9.250, 9.250 and 9.250 Å, with angles of 90.00, 90.00 and 90.00 degrees. Symmetry generates all atoms from Ca at (0.244, 0.244, 0.244), Cd at (0.065, 0.435, 0.565) and Hg at (0.000, 0.250, 0.991).

The relative energy among the computed polymorphs comes out at 0.129 eV/atom. The calculation puts the calculated volume at 791.5 Å³/cell. The electronic total energy comes out at -0.08720 Ry per atom.

---

The following is a DFT calculation (GGA-PBE) of Ca6Cd23Hg after structural relaxation.

The space group is Fm-3m (No. 225) and the conventional cell measures 14.308, 14.308 and 14.308 Å, with angles of 90.00, 90.00 and 90.00 degrees. Symmetry generates all atoms from Ca at (0.000, 0.000, 0.226), Cd at (0.000, 0.000, 0.500), Cd at (0.000, 0.250, 0.250), Cd at (0.125, 0.125, 0.375), Cd at (0.157, 0.157, 0.157) and Hg at (0.000, 0.000, 0.000).

The calculation puts the calculated volume at 2929.2 Å³/cell. The electronic total energy comes out at -0.10000 Ry per atom.

---

The following is a DFT calculation (GGA-PBE) of CaHo2CdHg4 after structural relaxation.

The space group is R-3m (No. 166, hexagonal axes) and the conventional cell measures 5.1654, 5.1654 and 25.6008 Å, with angles of 90.00, 90.00 and 120.00 degrees. Symmetry generates all atoms from Ca at (0.0000, 0.0000, 0.0000), Ho at (0.0000, 0.0000, 0.2445), Cd at (0.0000, 0.0000, 0.5000), Hg at (0.0000, 0.0000, 0.1229) and Hg at (0.0000, 0.0000, 0.3719).

The calculation puts the calculated volume at 591.6 Å³/cell. The electronic total energy comes out at -0.15379 Ry per atom.

---

The following is a DFT calculation (GGA-PBE) of CaHoCd2Hg4 after structural relaxation.

The space group is R-3m (No. 166, hexagonal axes) and the conventional cell measures 5.0829, 5.0829 and 25.4351 Å, with angles of 90.00, 90.00 and 120.00 degrees. Symmetry generates all atoms from Ca at (0.0000, 0.0000, 0.0000), Ho at (0.0000, 0.0000, 0.5000), Cd at (0.0000, 0.0000, 0.2498), Hg at (0.0000, 0.0000, 0.1254) and Hg at (0.0000, 0.0000, 0.3772).

The calculation puts the calculated volume at 569.1 Å³/cell. The electronic total energy comes out at -0.11481 Ry per atom.

---

The following is a DFT calculation (GGA-PBE) of CaCd2In2Hg2 after structural relaxation.

The space group is C2/m (No. 12) and the conventional cell measures 8.596, 4.971 and 8.972 Å, with angles of 90.00, 109.07 and 90.00 degrees. Symmetry generates all atoms from Ca at (0.000, 0.000, 0.000), Cd at (0.078, 0.500, 0.738), In at (0.143, 0.000, 0.423) and Hg at (0.225, 0.500, 0.171).

The calculation puts the calculated volume at 362.4 Å³/cell. The electronic total energy comes out at -0.11856 Ry per atom.

---

The following is a DFT calculation (GGA-PBE) of CaCdInHg after structural relaxation.

The space group is F-43m (No. 216) and the conventional cell measures 7.378, 7.378 and 7.378 Å, with angles of 90.00, 90.00 and 90.00 degrees. Symmetry generates all atoms from Ca at (0.000, 0.000, 0.000), Cd at (0.250, 0.250, 0.750), In at (0.000, 0.000, 0.500) and Hg at (0.250, 0.250, 0.250).

The calculation puts the calculated volume at 401.6 Å³/cell. The electronic total energy comes out at -0.13296 Ry per atom.